{"formula": "Ac2Al3Pd5", "functional": "GGA-PBE", "state": "relaxed", "lattice_angstrom": [[-5.453, 6.169, 3.066], [5.453, -6.169, 3.066], [5.453, 6.169, -3.066]], "species": ["Ac", "Ac", "Ac", "Ac", "Al", "Al", "Al", "Al", "Al", "Al", "Pd", "Pd", "Pd", "Pd", "Pd", "Pd", "Pd", "Pd", "Pd", "Pd"], "frac_coords": [[0.134, 0.232, 0.366], [0.366, 0.732, 0.098], [0.634, 0.268, 0.902], [0.866, 0.768, 0.634], [0.139, 0.905, 0.044], [0.250, 0.750, 0.500], [0.361, 0.405, 0.766], [0.639, 0.595, 0.234], [0.750, 0.250, 0.500], [0.861, 0.095, 0.956], [0.030, 0.750, 0.280], [0.099, 0.671, 0.770], [0.250, 0.250, 0.000], [0.401, 0.171, 0.571], [0.470, 0.750, 0.720], [0.530, 0.250, 0.280], [0.599, 0.829, 0.429], [0.750, 0.750, 0.000], [0.901, 0.329, 0.230], [0.970, 0.250, 0.720]], "formation_enthalpy_0k_ev_per_atom": -0.83, "dft_energy_ev_per_atom": -5.373, "spacegroup": "No. 72", "dos_at_fermi_per_ev_atom": 0.552}